Record 1
LiZrMn2 (meta-GGA SCAN, PBEsol geometry); M_tot = 5.8 μB per cell; ΔE_f = 0.068 eV/atom; DOS at the Fermi energy = 2.855 states/eV/cell; volume = 14.680 Å³ per atom
1.0
-3.106 2.230 -0.001
-1.274 -1.776 -3.137
0.267 -2.904 3.865
Mn Li Zr
2 1 1
Cartesian
0.000 0.000 0.000 Mn
-2.514 -0.223 1.147 Mn
-1.598 -2.226 -0.421 Li
-2.190 0.227 -1.569 Zr

=====

Record 2
AlReTe (meta-GGA SCAN, PBEsol geometry); M_tot = 0.0 μB per cell; formation energy (no corrections) = 399 meV/atom; DOS at the Fermi energy = 2.182 states/eV/cell; volume = 19.618 Å³ per atom
1.0
4.366 0.000 0.000
2.183 3.781 0.000
2.183 1.260 3.565
Te Re Al
1 1 1
Cartesian
0.000 0.000 0.000 Te
2.183 1.260 0.891 Re
4.366 2.521 1.782 Al

=====

Record 3
MgTaSbI2 (meta-GGA SCAN, PBEsol geometry); M_tot = 2.3 μB per cell; formation energy (no corrections) = 1084 meV/atom; DOS at the Fermi energy = 5.140 states/eV/cell; volume = 30.662 Å³ per atom
1.0
5.290 0.000 0.000
0.000 5.290 0.000
0.000 0.000 5.478
I Ta Mg Sb
2 1 1 1
Cartesian
0.000 2.645 0.000 I
2.645 0.000 0.000 I
2.645 2.645 2.739 Ta
0.000 0.000 0.000 Mg
0.000 0.000 2.739 Sb

=====

Record 4
Na2ZrMo3O12 (meta-GGA SCAN, PBEsol geometry); M_tot = 0.0 μB per cell; formation energy (no corrections) = -2452 meV/atom; DOS at the Fermi energy = 0.000 states/eV/cell; volume = 12.441 Å³ per atom
1.0
-3.996 2.424 -1.673
-5.751 -7.636 -2.637
-6.469 -1.999 7.245
O Na Mo Zr
24 4 6 2
Cartesian
-5.626 -4.024 1.410 O
-10.590 -3.187 1.525 O
-8.486 -5.635 -0.917 O
-5.304 -2.633 3.608 O
-4.278 -3.182 -1.076 O
-3.151 0.254 -1.201 O
-1.243 -0.248 0.879 O
-5.349 -5.801 -0.594 O
-14.974 -6.962 2.056 O
-4.115 -1.903 1.259 O
-11.939 -4.028 4.012 O
-12.102 -5.308 1.676 O
-9.659 -7.453 0.969 O
-6.558 0.242 1.966 O
-13.066 -7.465 4.136 O
-9.187 -3.654 3.908 O
-8.540 -4.808 1.645 O
-6.061 -1.096 -0.288 O
-10.156 -6.114 3.223 O
-7.677 -2.403 1.290 O
-10.868 -1.410 3.529 O
-10.913 -4.577 -0.673 O
-7.030 -3.557 -0.973 O
-7.731 -1.576 3.852 O
-11.789 -7.780 2.060 Na
-4.428 0.569 0.875 Na
-13.954 -5.263 3.511 Na
-2.263 -1.947 -0.576 Na
-9.357 -1.038 4.488 Mo
-8.445 -6.724 1.908 Mo
-5.630 -2.826 -0.111 Mo
-7.771 -0.487 1.027 Mo
-10.587 -4.385 3.046 Mo
-6.859 -6.173 -1.553 Mo
-9.019 -3.697 -0.173 Zr
-7.198 -3.514 3.108 Zr

=====

Record 5
LaTeRu2 (meta-GGA SCAN, PBEsol geometry); M_tot = 0.0 μB per cell; formation energy (no corrections) = -215 meV/atom; DOS at the Fermi energy = 4.359 states/eV/cell; volume = 21.783 Å³ per atom
1.0
4.155 0.000 0.000
0.000 4.988 -0.052
0.000 -1.962 4.225
La Ru Te
1 2 1
Cartesian
2.077 -0.594 3.265 La
2.077 3.447 0.741 Ru
0.000 4.674 0.372 Ru
0.000 1.999 1.829 Te

=====

Record 6
FeTc2Os (meta-GGA SCAN, PBEsol geometry); M_tot = 3.0 μB per cell; ΔE_f = 0.113 eV/atom; DOS at the Fermi energy = 3.112 states/eV/cell; volume = 13.317 Å³ per atom
1.0
-2.958 -0.222 -0.334
-0.053 -3.241 2.622
0.932 4.405 2.149
Os Fe Tc
1 1 2
Cartesian
-0.026 -1.621 1.311 Os
-1.479 -0.111 -0.167 Fe
-0.266 1.242 1.530 Tc
-1.812 -0.301 2.906 Tc

=====

Record 7
Y2RhAu (meta-GGA SCAN, PBEsol geometry); M_tot = 0.0 μB per cell; ΔE_f = -1.014 eV/atom; DOS at the Fermi energy = 2.071 states/eV/cell; volume = 20.775 Å³ per atom
1.0
3.482 0.000 0.000
0.000 4.885 0.000
0.000 0.000 4.886
Rh Y Au
1 2 1
Cartesian
1.741 4.273 2.443 Rh
0.000 4.274 0.000 Y
0.000 1.832 2.443 Y
1.741 1.832 0.000 Au

=====

Record 8
LaInP2Pb (meta-GGA SCAN, PBEsol geometry); M_tot = 0.0 μB per cell; ΔE_f = 0.199 eV/atom; DOS at the Fermi energy = 3.293 states/eV/cell; volume = 27.237 Å³ per atom
1.0
-1.824 -4.380 1.640
4.095 -0.645 2.831
-2.432 2.547 4.098
P Pb In La
2 1 1 1
Cartesian
-0.912 -2.190 0.820 P
2.048 -0.323 1.416 P
-1.216 1.274 2.049 Pb
0.000 0.000 0.000 In
-0.080 -1.239 4.285 La

=====

Record 9
YCd2Ni2 (meta-GGA SCAN, PBEsol geometry); M_tot = 0.0 μB per cell; ΔE_f = -0.191 eV/atom; DOS at the Fermi energy = 3.100 states/eV/cell; volume = 18.126 Å³ per atom
1.0
3.984 0.000 0.000
0.000 3.984 0.000
-1.992 -1.992 5.709
Ni Cd Y
2 2 1
Cartesian
0.000 0.000 4.603 Ni
1.992 1.992 1.107 Ni
1.992 0.000 2.855 Cd
0.000 1.992 2.855 Cd
0.000 0.000 0.000 Y

=====

Record 10
KFeIr2 (meta-GGA SCAN, PBEsol geometry); M_tot = 4.2 μB per cell; ΔE_f = 1.104 eV/atom; DOS at the Fermi energy = 5.245 states/eV/cell; volume = 15.907 Å³ per atom
1.0
-0.357 -0.287 4.459
-3.326 -1.475 -2.615
-0.797 -4.397 -0.347
Ir K Fe
2 1 1
Cartesian
-1.952 -1.909 -0.279 Ir
0.000 0.000 0.000 Ir
-0.577 -2.342 2.056 K
-2.529 -4.251 1.776 Fe

=====

Record 11
P4PbCl (meta-GGA SCAN, PBEsol geometry); M_tot = 0.0 μB per cell; formation energy (no corrections) = 119 meV/atom; DOS at the Fermi energy = 2.365 states/eV/cell; volume = 20.777 Å³ per atom
1.0
-2.219 -5.080 0.844
1.348 -4.248 -3.402
3.219 -4.187 1.884
P Pb Cl
4 1 1
Cartesian
1.632 -7.281 -2.282 P
-0.513 -7.781 0.272 P
2.757 -7.244 0.897 P
0.821 -4.726 -0.236 P
1.761 -10.137 -0.506 Pb
0.000 0.000 0.000 Cl

=====

Record 12
MnFe2Se (meta-GGA SCAN, PBEsol geometry); M_tot = 2.8 μB per cell; formation energy (no corrections) = 292 meV/atom; DOS at the Fermi energy = 2.250 states/eV/cell; volume = 12.415 Å³ per atom
1.0
-2.612 0.945 0.108
-1.915 -1.005 -1.746
-3.219 -5.308 4.373
Se Fe Mn
1 2 1
Cartesian
-1.950 -1.383 0.722 Se
-5.807 -4.021 2.046 Fe
-3.209 -5.278 4.345 Fe
-3.871 -2.678 1.362 Mn

=====

Which of these has the lowest volume? MnFe2Se

=====

What is the DOS at the Fermi energy in the ninth record? 3.100 states/eV/cell